Record 1
The following is a DFT calculation (PBE-GGA) of an optimized crystal structure of HfFeHgPb.

Raw total energy   -82.43 eV per cell

Cell and atoms, written as CIF:
```
data_HfFeHgPb
_cell_length_a 6.916
_cell_length_b 6.916
_cell_length_c 6.916
_cell_angle_alpha 90.00
_cell_angle_beta 90.00
_cell_angle_gamma 90.00
_symmetry_space_group_name_H-M 'F -4 3 m'
_symmetry_Int_Tables_number 216
_symmetry_space_group_name_Hall 'F -4 2 3'
loop_
_atom_site_label
_atom_site_type_symbol
_atom_site_fract_x
_atom_site_fract_y
_atom_site_fract_z
Hf1 Hf 0.000 0.000 0.000
Fe1 Fe 0.250 0.250 0.750
Hg1 Hg 0.250 0.250 0.250
Pb1 Pb 0.000 0.000 0.500
```

Record 2
The following is a DFT calculation (PBE-GGA) of an optimized crystal structure of HfFeHgPb.

Raw total energy   -82.70 eV per cell

Cell and atoms, written as CIF:
```
data_HfFeHgPb
_cell_length_a 6.740
_cell_length_b 6.740
_cell_length_c 6.740
_cell_angle_alpha 90.00
_cell_angle_beta 90.00
_cell_angle_gamma 90.00
_symmetry_space_group_name_H-M 'F -4 3 m'
_symmetry_Int_Tables_number 216
_symmetry_space_group_name_Hall 'F -4 2 3'
loop_
_atom_site_label
_atom_site_type_symbol
_atom_site_fract_x
_atom_site_fract_y
_atom_site_fract_z
Hf1 Hf 0.000 0.000 0.000
Fe1 Fe 0.000 0.000 0.500
Hg1 Hg 0.250 0.250 0.750
Pb1 Pb 0.250 0.250 0.250
```

Record 3
The following is a DFT calculation (PBE-GGA) of an optimized crystal structure of HfFeHgSb.

Raw total energy   -85.61 eV per cell

Cell and atoms, written as CIF:
```
data_HfFeHgSb
_cell_length_a 6.749
_cell_length_b 6.749
_cell_length_c 6.749
_cell_angle_alpha 90.00
_cell_angle_beta 90.00
_cell_angle_gamma 90.00
_symmetry_space_group_name_H-M 'F -4 3 m'
_symmetry_Int_Tables_number 216
_symmetry_space_group_name_Hall 'F -4 2 3'
loop_
_atom_site_label
_atom_site_type_symbol
_atom_site_fract_x
_atom_site_fract_y
_atom_site_fract_z
Hf1 Hf 0.000 0.000 0.000
Fe1 Fe 0.250 0.250 0.750
Hg1 Hg 0.250 0.250 0.250
Sb1 Sb 0.000 0.000 0.500
```

Record 4
The following is a DFT calculation (PBE-GGA) of an optimized crystal structure of HfFeHgSb.

Raw total energy   -86.77 eV per cell

Cell and atoms, written as CIF:
```
data_HfFeHgSb
_cell_length_a 6.654
_cell_length_b 6.654
_cell_length_c 6.654
_cell_angle_alpha 90.00
_cell_angle_beta 90.00
_cell_angle_gamma 90.00
_symmetry_space_group_name_H-M 'F -4 3 m'
_symmetry_Int_Tables_number 216
_symmetry_space_group_name_Hall 'F -4 2 3'
loop_
_atom_site_label
_atom_site_type_symbol
_atom_site_fract_x
_atom_site_fract_y
_atom_site_fract_z
Hf1 Hf 0.000 0.000 0.000
Fe1 Fe 0.000 0.000 0.500
Hg1 Hg 0.250 0.250 0.750
Sb1 Sb 0.250 0.250 0.250
```

Record 5
The following is a DFT calculation (PBE-GGA) of an optimized crystal structure of HfFeSnHg.

Raw total energy   -86.21 eV per cell

Cell and atoms, written as CIF:
```
data_HfFeSnHg
_cell_length_a 6.673
_cell_length_b 6.673
_cell_length_c 6.673
_cell_angle_alpha 90.00
_cell_angle_beta 90.00
_cell_angle_gamma 90.00
_symmetry_space_group_name_H-M 'F -4 3 m'
_symmetry_Int_Tables_number 216
_symmetry_space_group_name_Hall 'F -4 2 3'
loop_
_atom_site_label
_atom_site_type_symbol
_atom_site_fract_x
_atom_site_fract_y
_atom_site_fract_z
Hf1 Hf 0.000 0.000 0.000
Fe1 Fe 0.250 0.250 0.750
Sn1 Sn 0.000 0.000 0.500
Hg1 Hg 0.250 0.250 0.250
```

Record 6
The following is a DFT calculation (PBE-GGA) of an optimized crystal structure of HfFeSnHg.

Raw total energy   -86.67 eV per cell

Cell and atoms, written as CIF:
```
data_HfFeSnHg
_cell_length_a 6.658
_cell_length_b 6.658
_cell_length_c 6.658
_cell_angle_alpha 90.00
_cell_angle_beta 90.00
_cell_angle_gamma 90.00
_symmetry_space_group_name_H-M 'F -4 3 m'
_symmetry_Int_Tables_number 216
_symmetry_space_group_name_Hall 'F -4 2 3'
loop_
_atom_site_label
_atom_site_type_symbol
_atom_site_fract_x
_atom_site_fract_y
_atom_site_fract_z
Hf1 Hf 0.000 0.000 0.000
Fe1 Fe 0.000 0.000 0.500
Sn1 Sn 0.250 0.250 0.250
Hg1 Hg 0.250 0.250 0.750
```

Record 7
The following is a DFT calculation (PBE-GGA) of an optimized crystal structure of HfInFe2.

Raw total energy   -114.76 eV per cell

Cell and atoms, written as CIF:
```
data_HfInFe2
_cell_length_a 6.388
_cell_length_b 6.388
_cell_length_c 6.388
_cell_angle_alpha 90.00
_cell_angle_beta 90.00
_cell_angle_gamma 90.00
_symmetry_space_group_name_H-M 'F -4 3 m'
_symmetry_Int_Tables_number 216
_symmetry_space_group_name_Hall 'F -4 2 3'
loop_
_atom_site_label
_atom_site_type_symbol
_atom_site_fract_x
_atom_site_fract_y
_atom_site_fract_z
Hf1 Hf 0.000 0.000 0.000
In1 In 0.250 0.250 0.750
Fe1 Fe 0.000 0.000 0.500
Fe2 Fe 0.250 0.250 0.250
```

Record 8
The following is a DFT calculation (PBE-GGA) of an optimized crystal structure of HfInFe.

Raw total energy   -74.63 eV per cell

Cell and atoms, written as CIF:
```
data_HfInFe
_cell_length_a 6.417
_cell_length_b 6.417
_cell_length_c 6.417
_cell_angle_alpha 90.00
_cell_angle_beta 90.00
_cell_angle_gamma 90.00
_symmetry_space_group_name_H-M 'F -4 3 m'
_symmetry_Int_Tables_number 216
_symmetry_space_group_name_Hall 'F -4 2 3'
loop_
_atom_site_label
_atom_site_type_symbol
_atom_site_fract_x
_atom_site_fract_y
_atom_site_fract_z
Hf1 Hf 0.000 0.000 0.000
In1 In 0.250 0.250 0.250
Fe1 Fe 0.250 0.250 0.750
```

Record 9
The following is a DFT calculation (PBE-GGA) of an optimized crystal structure of HfIn6Fe6.

Raw total energy   -150.74 eV per cell

Cell and atoms, written as CIF:
```
data_HfIn6Fe6
_cell_length_a 5.263
_cell_length_b 9.082
_cell_length_c 9.152
_cell_angle_alpha 90.00
_cell_angle_beta 90.00
_cell_angle_gamma 90.00
_symmetry_space_group_name_H-M 'I m m m'
_symmetry_Int_Tables_number 71
_symmetry_space_group_name_Hall '-I 2 2'
loop_
_atom_site_label
_atom_site_type_symbol
_atom_site_fract_x
_atom_site_fract_y
_atom_site_fract_z
Hf1 Hf 0.000 0.000 0.000
In1 In 0.000 0.000 0.324
In2 In 0.000 0.327 0.500
In3 In 0.000 0.338 0.000
Fe1 Fe 0.000 0.500 0.258
Fe2 Fe 0.250 0.250 0.250
```

Record 10
The following is a DFT calculation (PBE-GGA) of an optimized crystal structure of LiHfInFe.

Raw total energy   -88.10 eV per cell

Cell and atoms, written as CIF:
```
data_LiHfInFe
_cell_length_a 6.512
_cell_length_b 6.512
_cell_length_c 6.512
_cell_angle_alpha 90.00
_cell_angle_beta 90.00
_cell_angle_gamma 90.00
_symmetry_space_group_name_H-M 'F -4 3 m'
_symmetry_Int_Tables_number 216
_symmetry_space_group_name_Hall 'F -4 2 3'
loop_
_atom_site_label
_atom_site_type_symbol
_atom_site_fract_x
_atom_site_fract_y
_atom_site_fract_z
Li1 Li 0.000 0.000 0.000
Hf1 Hf 0.250 0.250 0.250
In1 In 0.000 0.000 0.500
Fe1 Fe 0.250 0.250 0.750
```

Record 11
The following is a DFT calculation (PBE-GGA) of an optimized crystal structure of LiHfInFe.

Raw total energy   -92.50 eV per cell

Cell and atoms, written as CIF:
```
data_LiHfInFe
_cell_length_a 6.381
_cell_length_b 6.381
_cell_length_c 6.381
_cell_angle_alpha 90.00
_cell_angle_beta 90.00
_cell_angle_gamma 90.00
_symmetry_space_group_name_H-M 'F -4 3 m'
_symmetry_Int_Tables_number 216
_symmetry_space_group_name_Hall 'F -4 2 3'
loop_
_atom_site_label
_atom_site_type_symbol
_atom_site_fract_x
_atom_site_fract_y
_atom_site_fract_z
Li1 Li 0.000 0.000 0.000
Hf1 Hf 0.250 0.250 0.750
In1 In 0.250 0.250 0.250
Fe1 Fe 0.000 0.000 0.500
```

Record 12
The following is a DFT calculation (PBE-GGA) of an optimized crystal structure of LuHfInFe.

Raw total energy   -100.50 eV per cell

Cell and atoms, written as CIF:
```
data_LuHfInFe
_cell_length_a 6.698
_cell_length_b 6.698
_cell_length_c 6.698
_cell_angle_alpha 90.00
_cell_angle_beta 90.00
_cell_angle_gamma 90.00
_symmetry_space_group_name_H-M 'F -4 3 m'
_symmetry_Int_Tables_number 216
_symmetry_space_group_name_Hall 'F -4 2 3'
loop_
_atom_site_label
_atom_site_type_symbol
_atom_site_fract_x
_atom_site_fract_y
_atom_site_fract_z
Lu1 Lu 0.000 0.000 0.000
Hf1 Hf 0.250 0.250 0.750
In1 In 0.250 0.250 0.250
Fe1 Fe 0.000 0.000 0.500
```

Record 13
The following is a DFT calculation (PBE-GGA) of an optimized crystal structure of HfMgInFe.

Raw total energy   -86.08 eV per cell

Cell and atoms, written as CIF:
```
data_HfMgInFe
_cell_length_a 6.691
_cell_length_b 6.691
_cell_length_c 6.691
_cell_angle_alpha 90.00
_cell_angle_beta 90.00
_cell_angle_gamma 90.00
_symmetry_space_group_name_H-M 'F -4 3 m'
_symmetry_Int_Tables_number 216
_symmetry_space_group_name_Hall 'F -4 2 3'
loop_
_atom_site_label
_atom_site_type_symbol
_atom_site_fract_x
_atom_site_fract_y
_atom_site_fract_z
Hf1 Hf 0.000 0.000 0.000
Mg1 Mg 0.250 0.250 0.750
In1 In 0.250 0.250 0.250
Fe1 Fe 0.000 0.000 0.500
```

Record 14
The following is a DFT calculation (PBE-GGA) of an optimized crystal structure of HfMgInFe.

Raw total energy   -89.14 eV per cell

Cell and atoms, written as CIF:
```
data_HfMgInFe
_cell_length_a 6.550
_cell_length_b 6.550
_cell_length_c 6.550
_cell_angle_alpha 90.00
_cell_angle_beta 90.00
_cell_angle_gamma 90.00
_symmetry_space_group_name_H-M 'F -4 3 m'
_symmetry_Int_Tables_number 216
_symmetry_space_group_name_Hall 'F -4 2 3'
loop_
_atom_site_label
_atom_site_type_symbol
_atom_site_fract_x
_atom_site_fract_y
_atom_site_fract_z
Hf1 Hf 0.000 0.000 0.000
Mg1 Mg 0.250 0.250 0.250
In1 In 0.000 0.000 0.500
Fe1 Fe 0.250 0.250 0.750
```

Record 15
The following is a DFT calculation (PBE-GGA) of an optimized crystal structure of HfInFeMo.

Raw total energy   -124.27 eV per cell

Cell and atoms, written as CIF:
```
data_HfInFeMo
_cell_length_a 6.498
_cell_length_b 6.498
_cell_length_c 6.498
_cell_angle_alpha 90.00
_cell_angle_beta 90.00
_cell_angle_gamma 90.00
_symmetry_space_group_name_H-M 'F -4 3 m'
_symmetry_Int_Tables_number 216
_symmetry_space_group_name_Hall 'F -4 2 3'
loop_
_atom_site_label
_atom_site_type_symbol
_atom_site_fract_x
_atom_site_fract_y
_atom_site_fract_z
Hf1 Hf 0.000 0.000 0.000
In1 In 0.000 0.000 0.500
Fe1 Fe 0.250 0.250 0.750
Mo1 Mo 0.250 0.250 0.250
```

Mass density, respectively: 12.9, 13.9, 12.0, 12.6, 12.4, 12.5, 10.3, 8.8, 9.1, 8.6, 9.1, 11.6, 8.3, 8.8, 10.8 g cm⁻³.